Record 1
Ta3Si, relaxed, DFT GGA-PBEsol; SG = Pnma, No. 62; electronic total energy = -11.22 eV/atom; crystal system = orthorhombic
1.0
6.053 0.000 0.000
0.000 8.238 0.000
0.000 0.000 5.320
Ta Si
12 4
Cartesian
0.117 2.059 0.675
1.287 0.295 3.327
1.287 3.824 3.327
1.740 4.413 0.667
1.740 7.943 0.667
2.909 6.178 3.335
3.144 2.059 1.985
4.313 0.295 4.653
4.313 3.824 4.653
4.766 4.413 1.993
4.766 7.943 1.993
5.936 6.178 4.645
0.586 6.178 2.139
2.440 2.059 4.799
3.613 6.178 0.521
5.467 2.059 3.181

Record 2
TaSi3, relaxed, DFT GGA-PBEsol; SG = P4/mmm, No. 123; electronic total energy = -7.35 eV/atom; crystal system = tetragonal
1.0
2.793 0.000 0.000
0.000 2.793 0.000
0.000 0.000 7.526
Ta Si
1 3
Cartesian
0.000 0.000 0.000
0.000 0.000 3.763
1.396 1.396 1.926
1.396 1.396 5.600

Record 3
Ta3Si, relaxed, DFT GGA-PBEsol; SG = R-3m, No. 166; electronic total energy = -10.77 eV/atom; crystal system = trigonal
1.0
1.443 0.833 9.376
-1.443 0.833 9.376
0.000 -1.666 9.376
Ta Si
3 1
Cartesian
0.000 0.000 0.000
0.000 0.000 6.852
0.000 0.000 21.275
0.000 0.000 14.063

Record 4
Ta2Si2Tc, relaxed, DFT GGA-PBEsol; SG = P4/mbm, No. 127; electronic total energy = -10.11 eV/atom; crystal system = tetragonal
1.0
6.240 0.000 0.000
0.000 6.240 0.000
0.000 0.000 3.821
Ta Si Tc
4 4 2
Cartesian
1.031 2.089 0.000
2.089 5.209 0.000
4.151 1.031 0.000
5.209 4.151 0.000
0.856 3.976 1.910
2.264 0.856 1.910
3.976 5.384 1.910
5.384 2.264 1.910
0.000 0.000 1.910
3.120 3.120 1.910

Record 5
TaSiTc, relaxed, DFT GGA-PBEsol; SG = F-43m, No. 216; electronic total energy = -9.82 eV/atom; crystal system = cubic
1.0
0.000 2.955 2.955
2.955 0.000 2.955
2.955 2.955 0.000
Ta Si Tc
1 1 1
Cartesian
0.000 0.000 0.000
2.955 2.955 2.955
1.477 1.477 1.477

Record 6
Ta3SiTe6, relaxed, DFT GGA-PBEsol; SG = Pnma, No. 62; electronic total energy = -6.87 eV/atom; crystal system = orthorhombic
1.0
6.314 0.000 0.000
0.000 13.982 0.000
0.000 0.000 11.380
Ta Si Te
12 4 24
Cartesian
0.204 3.496 2.141
1.066 10.487 3.804
1.233 10.487 0.394
1.923 3.496 6.084
2.091 3.496 9.494
2.953 10.487 7.831
3.361 3.496 3.549
4.223 10.487 1.887
4.390 10.487 5.297
5.080 3.496 10.987
5.248 3.496 7.577
6.110 10.487 9.240
0.472 10.487 6.539
2.685 3.496 0.848
3.629 10.487 10.532
5.842 3.496 4.842
0.921 1.678 11.346
0.921 5.313 11.346
0.944 1.583 7.766
0.944 5.408 7.766
1.286 1.629 3.923
1.286 5.363 3.923
1.871 8.620 9.613
1.871 12.354 9.613
2.213 8.575 2.076
2.213 12.399 2.076
2.236 8.670 5.656
2.236 12.304 5.656
4.078 1.678 5.725
4.078 5.313 5.725
4.101 1.583 9.304
4.101 5.408 9.304
4.443 1.629 1.767
4.443 5.363 1.767
5.028 8.620 7.457
5.028 12.354 7.457
5.370 8.575 3.614
5.370 12.399 3.614
5.393 8.670 0.034
5.393 12.304 0.034

Record 7
Ta2Si2Te, relaxed, DFT GGA-PBEsol; SG = P4/mbm, No. 127; electronic total energy = -8.15 eV/atom; crystal system = tetragonal
1.0
7.310 0.000 0.000
0.000 7.310 0.000
0.000 0.000 3.274
Ta Si Te
4 4 2
Cartesian
1.154 2.501 0.000
2.501 6.157 0.000
4.809 1.154 0.000
6.157 4.809 0.000
0.932 4.587 1.637
2.723 0.932 1.637
4.587 6.378 1.637
6.378 2.723 1.637
0.000 0.000 0.000
3.655 3.655 0.000

Record 8
Ta2TiSi2, relaxed, DFT GGA-PBEsol; SG = P4/mbm, No. 127; electronic total energy = -9.72 eV/atom; crystal system = tetragonal
1.0
6.601 0.000 0.000
0.000 6.601 0.000
0.000 0.000 3.475
Ta Ti Si
4 2 4
Cartesian
1.134 2.167 0.000
2.167 5.467 0.000
4.434 1.134 0.000
5.467 4.434 0.000
0.000 0.000 1.738
3.300 3.300 1.738
0.845 4.146 1.738
2.455 0.845 1.738
4.146 5.756 1.738
5.756 2.455 1.738

Record 9
Ta2TlSi, relaxed, DFT GGA-PBEsol; SG = F-43m, No. 216; electronic total energy = -7.70 eV/atom; crystal system = cubic
1.0
0.000 3.303 3.303
3.303 0.000 3.303
3.303 3.303 0.000
Ta Tl Si
2 1 1
Cartesian
0.000 0.000 0.000
1.652 1.652 1.652
4.955 4.955 4.955
3.303 3.303 3.303

Record 10
Ta2TlSi, relaxed, DFT GGA-PBEsol; SG = Cmm2, No. 35; electronic total energy = -8.10 eV/atom; crystal system = orthorhombic
1.0
1.768 -2.319 0.000
1.768 2.319 0.000
0.000 0.000 9.128
Ta Tl Si
2 1 1
Cartesian
0.000 0.000 0.000
1.768 0.000 2.175
0.000 0.000 4.672
1.768 0.000 7.243

Record 11
Ta2TlSi, relaxed, DFT GGA-PBEsol; SG = I4/mmm, No. 139; electronic total energy = -8.00 eV/atom; crystal system = tetragonal
1.0
-2.154 2.154 3.761
2.154 -2.154 3.761
2.154 2.154 -3.761
Ta Tl Si
2 1 1
Cartesian
2.154 0.000 1.881
0.000 2.154 1.881
0.000 0.000 0.000
0.000 0.000 3.761

Record 12
TaTlSi2, relaxed, DFT GGA-PBEsol; distance to the lowest polymorph of the same formula = 554.0 meV/atom; SG = F-43m, No. 216; electronic total energy = -5.86 eV/atom; crystal system = cubic
1.0
0.000 3.298 3.298
3.298 0.000 3.298
3.298 3.298 0.000
Ta Tl Si
1 1 2
Cartesian
0.000 0.000 0.000
1.649 1.649 1.649
3.298 3.298 3.298
4.947 4.947 4.947

- Among the records above, which one has the lowest electronic total energy?
  number 1